[1]
DFT (GGA-PBE) results for a relaxed structure of Nd2BI.

- formation energy (no corrections) (eV/f.u.) = -2.2
- crystal system = trigonal
- total energy (eV/atom) = -4.99
- D(E_F) (states/eV per cell) = 13.512

Cell lengths 4.0887, 4.0887, 23.1238 Å; angles 90.00, 90.00, 120.00 degrees
Space group R-3m (No. 166, hexagonal axes)
Inequivalent atoms, fractional coordinates:
Nd  0.0000  0.0000  0.2270
B  0.0000  0.0000  0.5000
I  0.0000  0.0000  0.0000

***

[2]
DFT (GGA-PBE) results for a relaxed structure of Nd4BI5.

- formation energy (no corrections) (eV/f.u.) = -11.0
- crystal system = monoclinic
- total energy (eV/atom) = -4.45
- D(E_F) (states/eV per cell) = 11.023

Cell lengths 19.4834, 4.1991, 8.9482 Å; angles 90.00, 102.77, 90.00 degrees
Space group C2/m (No. 12)
Inequivalent atoms, fractional coordinates:
Nd  0.0009  0.0000  0.2987
Nd  0.1390  0.5000  0.5704
B  0.0000  0.5000  0.5000
I  0.0000  0.5000  0.0000
I  0.1658  0.0000  0.8428
I  0.1717  0.0000  0.3234

***

[3]
DFT (GGA-PBE) results for a relaxed structure of Nd9B2I14.

- formation energy (no corrections) (eV/f.u.) = -25.4
- crystal system = trigonal
- total energy (eV/atom) = -4.13
- D(E_F) (states/eV per cell) = 12.824

Cell lengths 9.2487, 9.2487, 12.5713 Å; angles 90.00, 90.00, 120.00 degrees
Space group P-3 (No. 147)
Inequivalent atoms, fractional coordinates:
Nd  0.0000  0.0000  0.0000
Nd  0.1102  0.3967  0.3346
Nd  0.3333  0.6667  0.0779
B  0.3333  0.6667  0.2728
I  0.0000  0.0000  0.2655
I  0.0406  0.6748  0.9034
I  0.0879  0.4048  0.6002

***

[4]
DFT (GGA-PBE) results for a relaxed structure of Nd4BSI2.

- formation energy (no corrections) (eV/f.u.) = -8.8
- crystal system = monoclinic
- total energy (eV/atom) = -5.22
- D(E_F) (states/eV per cell) = 2.673

Cell lengths 7.1498, 4.1078, 8.0820 Å; angles 90.00, 107.20, 90.00 degrees
Space group P2/m (No. 10)
Inequivalent atoms, fractional coordinates:
Nd  0.2100  0.0000  0.1825
Nd  0.2516  0.5000  0.8158
B  0.0000  0.5000  0.0000
S  0.5000  0.0000  0.0000
I  0.0000  0.0000  0.5000
I  0.5000  0.5000  0.5000

***

[5]
DFT (GGA-PBE) results for a relaxed structure of Nd8BS3I4.

- formation energy (no corrections) (eV/f.u.) = -20.8
- crystal system = trigonal
- total energy (eV/atom) = -5.26
- D(E_F) (states/eV per cell) = 17.172

Cell lengths 8.2944, 8.2944, 23.0170 Å; angles 90.00, 90.00, 120.00 degrees
Space group R-3m (No. 166, hexagonal axes)
Inequivalent atoms, fractional coordinates:
Nd  0.0000  0.0000  0.2277
Nd  0.0167  0.5084  0.2278
B  0.0000  0.0000  0.5000
S  0.0000  0.5000  0.5000
I  0.0000  0.0000  0.0000
I  0.0000  0.5000  0.0000

***

[6]
DFT (GGA-PBE) results for a relaxed structure of NiB3I.

- formation energy (no corrections) (eV/f.u.) = 6.7
- crystal system = cubic
- total energy (eV/atom) = -4.13
- D(E_F) (states/eV per cell) = 0.515
- energy relative to the lowest polymorph listed for this composition (eV per atom) = 0.000

Cell lengths 4.0797, 4.0797, 4.0797 Å; angles 90.00, 90.00, 90.00 degrees
Space group Pm-3m (No. 221)
Inequivalent atoms, fractional coordinates:
Ni  0.0000  0.0000  0.0000
B  0.0000  0.0000  0.5000
I  0.5000  0.5000  0.5000